A relaxed Sm3Pu4N8 crystal, computed with PBE-GGA.

Results
**Uncorrected formation energy**: -17.20 eV per formula unit

The structure in CIF format:
```
data_Sm3Pu4N8
_chemical_formula_sum 'Sm3 Pu4 N8'
_space_group_name_H-M_alt 'P 1'
_space_group_IT_number 1
_cell_length_a 7.017
_cell_length_b 7.017
_cell_length_c 6.990
_cell_angle_alpha 119.72
_cell_angle_beta 119.72
_cell_angle_gamma 90.41
loop_
_space_group_symop_operation_xyz
'x,y,z'
loop_
_atom_site_label
_atom_site_type_symbol
_atom_site_fract_x
_atom_site_fract_y
_atom_site_fract_z
Sm1 Sm 0.000 0.000 0.000
Sm2 Sm 0.000 0.500 0.500
Sm3 Sm 0.500 0.000 0.500
Pu1 Pu 0.000 0.500 0.000
Pu2 Pu 0.500 0.000 0.000
Pu3 Pu 0.500 0.500 0.000
Pu4 Pu 0.500 0.500 0.500
N1 N 0.252 0.748 0.000
N2 N 0.284 0.284 0.053
N3 N 0.285 0.715 0.500
N4 N 0.291 0.291 0.520
N5 N 0.709 0.709 0.480
N6 N 0.715 0.285 0.500
N7 N 0.716 0.716 0.947
N8 N 0.748 0.252 0.000
```


A relaxed LaYIn6 crystal, computed with PBE-GGA.

Results
**Energy**: -3.8841 eV per atom

The structure in CIF format:
```
data_LaYIn6
_chemical_formula_sum 'La1 Y1 In6'
_space_group_name_H-M_alt 'P 1'
_space_group_IT_number 1
_cell_length_a 5.291
_cell_length_b 6.765
_cell_length_c 6.765
_cell_angle_alpha 60.06
_cell_angle_beta 90.00
_cell_angle_gamma 90.00
loop_
_space_group_symop_operation_xyz
'x,y,z'
loop_
_atom_site_label
_atom_site_type_symbol
_atom_site_fract_x
_atom_site_fract_y
_atom_site_fract_z
La1 La 0.000 0.000 0.000
Y1 Y 0.500 0.667 0.667
In1 In 0.000 0.012 0.494
In2 In 0.000 0.494 0.012
In3 In 0.000 0.495 0.495
In4 In 0.500 0.177 0.177
In5 In 0.500 0.178 0.646
In6 In 0.500 0.646 0.178
```


A relaxed LiLa2Zn crystal, computed with PBE-GGA.

Results
**Energy**: -3.3868 eV per atom

The structure in CIF format:
```
data_LiLa2Zn
_chemical_formula_sum 'Li1 La2 Zn1'
_space_group_name_H-M_alt 'P 1'
_space_group_IT_number 1
_cell_length_a 3.884
_cell_length_b 3.884
_cell_length_c 7.471
_cell_angle_alpha 90.00
_cell_angle_beta 90.00
_cell_angle_gamma 90.00
loop_
_space_group_symop_operation_xyz
'x,y,z'
loop_
_atom_site_label
_atom_site_type_symbol
_atom_site_fract_x
_atom_site_fract_y
_atom_site_fract_z
Li1 Li 0.000 0.000 0.000
La1 La 0.500 0.500 0.278
La2 La 0.500 0.500 0.722
Zn1 Zn 0.000 0.000 0.500
```


A relaxed AgSb crystal, computed with PBE-GGA.

Results
**Uncorrected formation energy**: 0.22 eV per formula unit

The structure in CIF format:
```
data_AgSb
_chemical_formula_sum 'Ag2 Sb2'
_space_group_name_H-M_alt 'P 1'
_space_group_IT_number 1
_cell_length_a 4.955
_cell_length_b 3.257
_cell_length_c 5.806
_cell_angle_alpha 90.00
_cell_angle_beta 103.62
_cell_angle_gamma 90.00
loop_
_space_group_symop_operation_xyz
'x,y,z'
loop_
_atom_site_label
_atom_site_type_symbol
_atom_site_fract_x
_atom_site_fract_y
_atom_site_fract_z
Ag1 Ag 0.188 0.250 0.186
Ag2 Ag 0.812 0.750 0.814
Sb1 Sb 0.287 0.250 0.702
Sb2 Sb 0.713 0.750 0.298
```


A relaxed CuRh2Br crystal, computed with PBE-GGA.

Results
**Uncorrected formation energy**: 2.49 eV per formula unit

The structure in CIF format:
```
data_CuRh2Br
_chemical_formula_sum 'Cu1 Rh2 Br1'
_space_group_name_H-M_alt 'P 1'
_space_group_IT_number 1
_cell_length_a 4.415
_cell_length_b 4.415
_cell_length_c 4.415
_cell_angle_alpha 60.00
_cell_angle_beta 60.00
_cell_angle_gamma 60.00
loop_
_space_group_symop_operation_xyz
'x,y,z'
loop_
_atom_site_label
_atom_site_type_symbol
_atom_site_fract_x
_atom_site_fract_y
_atom_site_fract_z
Cu1 Cu 0.000 0.000 0.000
Rh1 Rh 0.250 0.250 0.250
Rh2 Rh 0.750 0.750 0.750
Br1 Br 0.500 0.500 0.500
```


A relaxed K2PN crystal, computed with PBE-GGA.

Results
**Uncorrected formation energy**: 4.00 eV per formula unit

The structure in CIF format:
```
data_K2PN
_chemical_formula_sum 'K2 P1 N1'
_space_group_name_H-M_alt 'P 1'
_space_group_IT_number 1
_cell_length_a 5.417
_cell_length_b 5.417
_cell_length_c 5.417
_cell_angle_alpha 60.00
_cell_angle_beta 60.00
_cell_angle_gamma 60.00
loop_
_space_group_symop_operation_xyz
'x,y,z'
loop_
_atom_site_label
_atom_site_type_symbol
_atom_site_fract_x
_atom_site_fract_y
_atom_site_fract_z
K1 K 0.250 0.250 0.250
K2 K 0.750 0.750 0.750
P1 P 0.000 0.000 0.000
N1 N 0.500 0.500 0.500
```


A relaxed ZnWS2 crystal, computed with PBE-GGA.

Results
**Uncorrected formation energy**: 1.12 eV per formula unit

The structure in CIF format:
```
data_ZnWS2
_chemical_formula_sum 'Zn1 W1 S2'
_space_group_name_H-M_alt 'P 1'
_space_group_IT_number 1
_cell_length_a 7.851
_cell_length_b 7.851
_cell_length_c 7.851
_cell_angle_alpha 24.11
_cell_angle_beta 24.11
_cell_angle_gamma 24.11
loop_
_space_group_symop_operation_xyz
'x,y,z'
loop_
_atom_site_label
_atom_site_type_symbol
_atom_site_fract_x
_atom_site_fract_y
_atom_site_fract_z
Zn1 Zn 0.000 0.000 0.000
W1 W 0.500 0.500 0.500
S1 S 0.400 0.400 0.400
S2 S 0.600 0.600 0.600
```


A relaxed AcLaSb2 crystal, computed with PBE-GGA.

Results
**Uncorrected formation energy**: -3.93 eV per formula unit

The structure in CIF format:
```
data_AcLaSb2
_chemical_formula_sum 'Ac1 La1 Sb2'
_space_group_name_H-M_alt 'P 1'
_space_group_IT_number 1
_cell_length_a 5.703
_cell_length_b 5.703
_cell_length_c 5.703
_cell_angle_alpha 60.00
_cell_angle_beta 60.00
_cell_angle_gamma 60.00
loop_
_space_group_symop_operation_xyz
'x,y,z'
loop_
_atom_site_label
_atom_site_type_symbol
_atom_site_fract_x
_atom_site_fract_y
_atom_site_fract_z
Ac1 Ac 0.000 0.000 0.000
La1 La 0.500 0.500 0.500
Sb1 Sb 0.250 0.250 0.250
Sb2 Sb 0.750 0.750 0.750
```


A relaxed CaSn4Ir2 crystal, computed with PBE-GGA.

Results
**Energy**: -5.5751 eV per atom

The structure in CIF format:
```
data_CaSn4Ir2
_chemical_formula_sum 'Ca4 Sn16 Ir8'
_space_group_name_H-M_alt 'P 1'
_space_group_IT_number 1
_cell_length_a 18.713
_cell_length_b 4.415
_cell_length_c 7.326
_cell_angle_alpha 90.00
_cell_angle_beta 90.00
_cell_angle_gamma 90.00
loop_
_space_group_symop_operation_xyz
'x,y,z'
loop_
_atom_site_label
_atom_site_type_symbol
_atom_site_fract_x
_atom_site_fract_y
_atom_site_fract_z
Ca1 Ca 0.143 0.250 0.018
Ca2 Ca 0.357 0.750 0.518
Ca3 Ca 0.643 0.250 0.482
Ca4 Ca 0.857 0.750 0.982
Sn1 Sn 0.034 0.750 0.871
Sn2 Sn 0.069 0.250 0.483
Sn3 Sn 0.183 0.750 0.309
Sn4 Sn 0.193 0.750 0.738
Sn5 Sn 0.307 0.250 0.238
Sn6 Sn 0.317 0.250 0.809
Sn7 Sn 0.431 0.750 0.983
Sn8 Sn 0.466 0.250 0.371
Sn9 Sn 0.534 0.750 0.629
Sn10 Sn 0.569 0.250 0.017
Sn11 Sn 0.683 0.750 0.191
Sn12 Sn 0.693 0.750 0.762
Sn13 Sn 0.807 0.250 0.262
Sn14 Sn 0.817 0.250 0.691
Sn15 Sn 0.931 0.750 0.517
Sn16 Sn 0.966 0.250 0.129
Ir1 Ir 0.037 0.750 0.256
Ir2 Ir 0.215 0.250 0.527
Ir3 Ir 0.285 0.750 0.027
Ir4 Ir 0.463 0.250 0.756
Ir5 Ir 0.537 0.750 0.244
Ir6 Ir 0.715 0.250 0.973
Ir7 Ir 0.785 0.750 0.473
Ir8 Ir 0.963 0.250 0.744
```


A relaxed CeY5Rh6 crystal, computed with PBE-GGA.

Results
**Energy**: -7.6795 eV per atom

The structure in CIF format:
```
data_CeY5Rh6
_chemical_formula_sum 'Ce1 Y5 Rh6'
_space_group_name_H-M_alt 'P 1'
_space_group_IT_number 1
_cell_length_a 8.379
_cell_length_b 8.379
_cell_length_c 4.848
_cell_angle_alpha 106.70
_cell_angle_beta 106.70
_cell_angle_gamma 49.54
loop_
_space_group_symop_operation_xyz
'x,y,z'
loop_
_atom_site_label
_atom_site_type_symbol
_atom_site_fract_x
_atom_site_fract_y
_atom_site_fract_z
Ce1 Ce 0.000 0.000 0.000
Y1 Y 0.172 0.172 0.672
Y2 Y 0.335 0.335 0.335
Y3 Y 0.500 0.500 0.000
Y4 Y 0.665 0.665 0.665
Y5 Y 0.828 0.828 0.328
Rh1 Rh 0.081 0.594 0.837
Rh2 Rh 0.241 0.759 0.500
Rh3 Rh 0.406 0.919 0.163
Rh4 Rh 0.594 0.081 0.837
Rh5 Rh 0.759 0.241 0.500
Rh6 Rh 0.919 0.406 0.163
```


A relaxed SrMgPRu crystal, computed with PBE-GGA.

Results
**Energy**: -5.0610 eV per atom

The structure in CIF format:
```
data_SrMgPRu
_chemical_formula_sum 'Sr2 Mg2 P2 Ru2'
_space_group_name_H-M_alt 'P 1'
_space_group_IT_number 1
_cell_length_a 4.080
_cell_length_b 4.080
_cell_length_c 11.759
_cell_angle_alpha 90.00
_cell_angle_beta 90.00
_cell_angle_gamma 90.00
loop_
_space_group_symop_operation_xyz
'x,y,z'
loop_
_atom_site_label
_atom_site_type_symbol
_atom_site_fract_x
_atom_site_fract_y
_atom_site_fract_z
Sr1 Sr 0.250 0.250 0.227
Sr2 Sr 0.750 0.750 0.773
Mg1 Mg 0.250 0.750 0.500
Mg2 Mg 0.750 0.250 0.500
P1 P 0.250 0.250 0.900
P2 P 0.750 0.750 0.100
Ru1 Ru 0.250 0.750 0.000
Ru2 Ru 0.750 0.250 0.000
```


A relaxed Ni2BIr2 crystal, computed with PBE-GGA.

Results
**Energy**: -7.1006 eV per atom

The structure in CIF format:
```
data_Ni2BIr2
_chemical_formula_sum 'Ni4 B2 Ir4'
_space_group_name_H-M_alt 'P 1'
_space_group_IT_number 1
_cell_length_a 5.603
_cell_length_b 5.603
_cell_length_c 4.046
_cell_angle_alpha 90.00
_cell_angle_beta 90.00
_cell_angle_gamma 90.00
loop_
_space_group_symop_operation_xyz
'x,y,z'
loop_
_atom_site_label
_atom_site_type_symbol
_atom_site_fract_x
_atom_site_fract_y
_atom_site_fract_z
Ni1 Ni 0.152 0.348 0.000
Ni2 Ni 0.348 0.848 0.000
Ni3 Ni 0.652 0.152 0.000
Ni4 Ni 0.848 0.652 0.000
B1 B 0.000 0.000 0.500
B2 B 0.500 0.500 0.500
Ir1 Ir 0.160 0.660 0.500
Ir2 Ir 0.340 0.160 0.500
Ir3 Ir 0.660 0.840 0.500
Ir4 Ir 0.840 0.340 0.500
```


What did the second record say?
A relaxed LaYIn6 crystal, computed with PBE-GGA.

Results
**Energy**: -3.8841 eV per atom

The structure in CIF format:
```
data_LaYIn6
_chemical_formula_sum 'La1 Y1 In6'
_space_group_name_H-M_alt 'P 1'
_space_group_IT_number 1
_cell_length_a 5.291
_cell_length_b 6.765
_cell_length_c 6.765
_cell_angle_alpha 60.06
_cell_angle_beta 90.00
_cell_angle_gamma 90.00
loop_
_space_group_symop_operation_xyz
'x,y,z'
loop_
_atom_site_label
_atom_site_type_symbol
_atom_site_fract_x
_atom_site_fract_y
_atom_site_fract_z
La1 La 0.000 0.000 0.000
Y1 Y 0.500 0.667 0.667
In1 In 0.000 0.012 0.494
In2 In 0.000 0.494 0.012
In3 In 0.000 0.495 0.495
In4 In 0.500 0.177 0.177
In5 In 0.500 0.178 0.646
In6 In 0.500 0.646 0.178
```


What did the seventh record say?
A relaxed ZnWS2 crystal, computed with PBE-GGA.

Results
**Uncorrected formation energy**: 1.12 eV per formula unit

The structure in CIF format:
```
data_ZnWS2
_chemical_formula_sum 'Zn1 W1 S2'
_space_group_name_H-M_alt 'P 1'
_space_group_IT_number 1
_cell_length_a 7.851
_cell_length_b 7.851
_cell_length_c 7.851
_cell_angle_alpha 24.11
_cell_angle_beta 24.11
_cell_angle_gamma 24.11
loop_
_space_group_symop_operation_xyz
'x,y,z'
loop_
_atom_site_label
_atom_site_type_symbol
_atom_site_fract_x
_atom_site_fract_y
_atom_site_fract_z
Zn1 Zn 0.000 0.000 0.000
W1 W 0.500 0.500 0.500
S1 S 0.400 0.400 0.400
S2 S 0.600 0.600 0.600
```